Below is a relaxed Sc3RhN crystal, with properties calculated at the PBE level.

a = 4.9134 Å, b = 4.9134 Å, c = 4.9134 Å
α = 90.00°, β = 90.00°, γ = 90.00°
With the nearest neighbours (Å) after each atom.
Space group Pm-3m (No. 221)
Asymmetric unit:
Sc (0.0000, 0.0000, 0.5000) [3 per cell]  2 Rh 2.46
Rh (0.0000, 0.0000, 0.0000) [1 per cell]  6 Sc 2.46
N (0.5000, 0.5000, 0.5000) [1 per cell]  12 Sc 3.47

Properties
calculated volume: 118.6 Å³/f.u.
M_tot: 0.00 μB/f.u.
calculated density: 3.525 g/cm³
total energy: -6.297 eV per atom

Below is a relaxed CaThZnGe crystal, with properties calculated at the PBE level.

a = 7.2882 Å, b = 7.2882 Å, c = 7.2882 Å
α = 90.00°, β = 90.00°, γ = 90.00°
With the nearest neighbours (Å) after each atom.
Space group F-43m (No. 216)
Asymmetric unit:
Ca (0.0000, 0.0000, 0.0000) [4 per cell]  4 Ge 3.16, 4 Zn 3.16
Th (0.0000, 0.0000, 0.5000) [4 per cell]  4 Zn 3.16, 4 Ge 3.16
Zn (0.2500, 0.2500, 0.7500) [4 per cell]  4 Th 3.16, 4 Ca 3.16
Ge (0.2500, 0.2500, 0.2500) [4 per cell]  4 Th 3.16, 4 Ca 3.16

Properties
calculated volume: 96.8 Å³/f.u.
M_tot: 0.00 μB/f.u.
calculated density: 7.037 g/cm³
calculated formation energy: -0.356 eV/atom
total energy: -4.184 eV per atom

Below is a relaxed Ba2SiTeIr crystal, with properties calculated at the PBE level.

a = 6.1486 Å, b = 6.1486 Å, c = 4.5795 Å
α = 90.00°, β = 90.00°, γ = 90.00°
With the nearest neighbours (Å) after each atom.
Space group P4/mmm (No. 123)
Asymmetric unit:
Ba (0.0000, 0.5000, 0.0000) [2 per cell]  2 Ir 3.07
Si (0.0000, 0.0000, 0.5000) [1 per cell]  2 Ir 2.29
Te (0.5000, 0.5000, 0.5000) [1 per cell]  8 Ba 3.83
Ir (0.0000, 0.0000, 0.0000) [1 per cell]  2 Si 2.29

Properties
calculated volume: 173.1 Å³/f.u.
M_tot: 0.00 μB/f.u.
calculated density: 5.971 g/cm³
total energy: -5.029 eV per atom

Below is a relaxed Nd3TmZn4 crystal, with properties calculated at the PBE level.

a = 5.1388 Å, b = 5.1388 Å, c = 25.4029 Å
α = 90.00°, β = 90.00°, γ = 120.00°
With the nearest neighbours (Å) after each atom.
Space group R-3m (No. 166, hexagonal axes)
Asymmetric unit:
Nd (0.0000, 0.0000, 0.0000) [3 per cell]  8 Zn 3.17-3.22
Nd (0.0000, 0.0000, 0.2481) [6 per cell]  8 Zn 3.08-3.28
Tm (0.0000, 0.0000, 0.5000) [3 per cell]  8 Zn 3.12-3.14
Zn (0.0000, 0.0000, 0.1268) [6 per cell]  5 Nd 3.08-3.22, 3 Tm 3.14
Zn (0.0000, 0.0000, 0.3773) [6 per cell]  1 Tm 3.12, 7 Nd 3.15-3.28

Properties
calculated volume: 193.6 Å³/f.u.
M_tot: 0.00 μB/f.u.
calculated density: 7.403 g/cm³
calculated formation energy: -0.312 eV/atom
total energy: -3.295 eV per atom

Below is a relaxed Y3BeCl crystal, with properties calculated at the PBE level.

a = 5.0842 Å, b = 5.0842 Å, c = 5.0842 Å
α = 90.00°, β = 90.00°, γ = 90.00°
With the nearest neighbours (Å) after each atom.
Space group Pm-3m (No. 221)
Asymmetric unit:
Y (0.0000, 0.0000, 0.5000) [3 per cell]  2 Cl 2.54
Be (0.5000, 0.5000, 0.5000) [1 per cell]  12 Y 3.60
Cl (0.0000, 0.0000, 0.0000) [1 per cell]  6 Y 2.54

Properties
calculated volume: 131.4 Å³/f.u.
M_tot: 0.00 μB/f.u.
calculated density: 3.932 g/cm³
total energy: -5.064 eV per atom
energy above the lowest structure with this stoichiometry: 0 meV per atom

Below is a relaxed DyTmRu2 crystal, with properties calculated at the PBE level.

a = 3.3761 Å, b = 3.3761 Å, c = 6.7537 Å
α = 90.00°, β = 90.00°, γ = 90.00°
With the nearest neighbours (Å) after each atom.
Space group P4/mmm (No. 123)
Asymmetric unit:
Dy (0.0000, 0.0000, 0.0000) [1 per cell]  8 Ru 2.94
Tm (0.0000, 0.0000, 0.5000) [1 per cell]  8 Ru 2.91
Ru (0.5000, 0.5000, 0.2530) [2 per cell]  4 Tm 2.91, 4 Dy 2.94

Properties
calculated volume: 77.0 Å³/f.u.
M_tot: 0.00 μB/f.u.
calculated density: 11.510 g/cm³
calculated formation energy: -0.373 eV/atom
total energy: -7.279 eV per atom

Below is a relaxed KTmH crystal, with properties calculated at the PBE level.

a = 13.7197 Å, b = 3.5363 Å, c = 6.1317 Å
α = 90.00°, β = 90.00°, γ = 90.00°
With the nearest neighbours (Å) after each atom.
Space group Amm2 (No. 38)
Asymmetric unit:
K (0.1286, 0.0000, 0.0000) [4 per cell]  3 H 2.70
Tm (0.3883, 0.0000, 0.6702) [4 per cell]  3 H 2.55-2.56
H (0.0000, 0.0000, 0.6669) [2 per cell]  6 K 2.70
H (0.5000, 0.0000, 0.0045) [2 per cell]  6 Tm 2.55-2.56

Properties
calculated volume: 74.4 Å³/f.u.
M_tot: 0.00 μB/f.u.
calculated density: 4.667 g/cm³
total energy: -2.842 eV per atom

Below is a relaxed NaInRhPb2 crystal, with properties calculated at the PBE level.

a = 5.3549 Å, b = 5.3549 Å, c = 5.2096 Å
α = 90.00°, β = 90.00°, γ = 90.00°
With the nearest neighbours (Å) after each atom.
Space group P4/mmm (No. 123)
Asymmetric unit:
Na (0.0000, 0.0000, 0.0000) [1 per cell]  8 Pb 3.74, 4 In 3.79
In (0.5000, 0.5000, 0.0000) [1 per cell]  2 Rh 2.60
Rh (0.5000, 0.5000, 0.5000) [1 per cell]  2 In 2.60, 4 Pb 2.68
Pb (0.0000, 0.5000, 0.5000) [2 per cell]  2 Rh 2.68

Properties
calculated volume: 149.4 Å³/f.u.
M_tot: 0.00 μB/f.u.
calculated density: 7.282 g/cm³
calculated formation energy: -0.001 eV/atom
total energy: -3.766 eV per atom

D(E_F) across the listed records, respectively: 5.363 14.325 2.129 25.500 2.203 5.114 7.809 3.954 states/eV per cell.